This record from Alexandria via LeMat-Bulk describes crystalline PuNi6O12 at its relaxed geometry. The functional is GGA+U.

Summary:
Uncorrected energy ... -106.9 eV/f.u.
Volume ... 11.01 A^3/atom

abc: 5.941 5.941 5.941
angles: 92.51 92.51 92.51
Positions (direct):
Pu 0.000 0.000 0.000
Ni 0.105 0.565 0.290
Ni 0.290 0.105 0.565
Ni 0.435 0.710 0.895
Ni 0.565 0.290 0.105
Ni 0.710 0.895 0.435
Ni 0.895 0.435 0.710
O 0.072 0.687 0.895
O 0.105 0.928 0.313
O 0.174 0.401 0.557
O 0.313 0.105 0.928
O 0.401 0.557 0.174
O 0.443 0.826 0.599
O 0.557 0.174 0.401
O 0.599 0.443 0.826
O 0.687 0.895 0.072
O 0.826 0.599 0.443
O 0.895 0.072 0.687
O 0.928 0.313 0.105